Material: LaZnMo2
Method: DFT, PBE
State: optimized geometry

The structure in CIF format:
```
data_LaZnMo2
_chemical_formula_sum 'La1 Zn1 Mo2'
_space_group_name_H-M_alt 'P 1'
_space_group_IT_number 1
_space_group_name_Hall 'P 1'
_cell_length_a 5.365
_cell_length_b 5.365
_cell_length_c 5.365
_cell_angle_alpha 134.50
_cell_angle_beta 134.50
_cell_angle_gamma 66.31
loop_
_atom_site_label
_atom_site_type_symbol
_atom_site_fract_x
_atom_site_fract_y
_atom_site_fract_z
La1 La 0.000 0.000 0.000
Zn1 Zn 0.500 0.500 0.000
Mo1 Mo 0.250 0.750 0.500
Mo2 Mo 0.750 0.250 0.500
```

Summary:
Space-group type: No. 139

***

Material: LaZnMo2
Method: DFT, PBE
State: optimized geometry

The structure in CIF format:
```
data_LaZnMo2
_chemical_formula_sum 'La1 Zn1 Mo2'
_space_group_name_H-M_alt 'P 1'
_space_group_IT_number 1
_space_group_name_Hall 'P 1'
_cell_length_a 4.477
_cell_length_b 4.477
_cell_length_c 6.399
_cell_angle_alpha 97.99
_cell_angle_beta 97.99
_cell_angle_gamma 42.11
loop_
_atom_site_label
_atom_site_type_symbol
_atom_site_fract_x
_atom_site_fract_y
_atom_site_fract_z
La1 La 0.000 0.000 0.000
Zn1 Zn 0.251 0.251 0.671
Mo1 Mo 0.519 0.519 0.479
Mo2 Mo 0.782 0.782 0.327
```

Summary:
Space-group type: No. 8

***

| no. | ΔH_f (0 K) (eV per atom) |
| --- | --- |
| 1 | 0.654 |
| 2 | 0.358 |